## AgOs2Rh (PBE)

Data for a geometry-optimized AgOs2Rh structure.

Results
As for the theoretical density: 16.37 g/cm³. The calculation puts the total energy at -7.8017 eV per atom. The excess energy over the best structure of this formula in the dataset comes out at 116 meV per atom. The crystal system is trigonal.

Lattice parameters (Å, degrees): 9.426 9.426 9.426 16.65 16.65 16.65
Sites, in units of the cell vectors:
1 Ag 0.000 0.000 0.000
2 Os 0.245 0.245 0.245
3 Os 0.755 0.755 0.755
4 Rh 0.500 0.500 0.500